A plane-wave DFT calculation with PBE was carried out for an optimized crystal structure of Ca2LaNd5.

Values from the calculation:
**Calculated total energy**: -32.42 eV for the cell shown

Cell: 11.259 11.259 11.259 Å, 152.94 152.94 38.65°
Fractional coordinates of all 8 atoms:
Ca 0.250 0.250 0.000
Ca 0.750 0.750 0.000
La 0.000 0.000 0.000
Nd 0.118 0.618 0.500
Nd 0.382 0.882 0.500
Nd 0.500 0.500 0.000
Nd 0.618 0.118 0.500
Nd 0.882 0.382 0.500

***

A plane-wave DFT calculation with PBE was carried out for an optimized crystal structure of Ca2LaNd3.

Values from the calculation:
**Calculated total energy**: -46.05 eV for the cell shown

Cell: 7.474 7.474 9.319 Å, 90.00 90.00 120.00°
Fractional coordinates of all 12 atoms:
Ca 0.000 0.000 0.000
Ca 0.000 0.500 0.000
Ca 0.500 0.000 0.000
Ca 0.500 0.500 0.000
La 0.333 0.667 0.347
La 0.667 0.333 0.653
Nd 0.166 0.333 0.656
Nd 0.166 0.834 0.656
Nd 0.333 0.166 0.344
Nd 0.667 0.834 0.656
Nd 0.834 0.166 0.344
Nd 0.834 0.667 0.344

***

A plane-wave DFT calculation with PBE was carried out for an optimized crystal structure of Ca2La5Nd6.

Values from the calculation:
**Calculated total energy**: -111.69 eV for the cell shown

Cell: 12.349 21.197 3.671 Å, 90.00 90.00 90.00°
Fractional coordinates of all 26 atoms:
Ca 0.167 0.214 0.000
Ca 0.333 0.714 0.000
Ca 0.667 0.286 0.000
Ca 0.833 0.786 0.000
La 0.000 0.500 0.500
La 0.093 0.780 0.500
La 0.209 0.050 0.500
La 0.291 0.550 0.500
La 0.407 0.280 0.500
La 0.500 0.000 0.500
La 0.593 0.720 0.500
La 0.709 0.450 0.500
La 0.791 0.950 0.500
La 0.907 0.220 0.500
Nd 0.053 0.923 0.000
Nd 0.070 0.638 0.000
Nd 0.187 0.376 0.500
Nd 0.313 0.876 0.500
Nd 0.430 0.138 0.000
Nd 0.447 0.423 0.000
Nd 0.553 0.577 0.000
Nd 0.570 0.862 0.000
Nd 0.687 0.124 0.500
Nd 0.813 0.624 0.500
Nd 0.930 0.362 0.000
Nd 0.947 0.077 0.000

***

A plane-wave DFT calculation with PBE was carried out for an optimized crystal structure of CaLa2Nd2.

Values from the calculation:
**Calculated total energy**: -21.28 eV for the cell shown
**Energy above the most stable polymorph in this dataset**: 0 meV per atom

Cell: 15.602 15.602 15.602 Å, 13.74 13.74 13.74°
Fractional coordinates of all 5 atoms:
Ca 0.000 0.000 0.000
La 0.404 0.404 0.404
La 0.596 0.596 0.596
Nd 0.199 0.199 0.199
Nd 0.801 0.801 0.801

***

A plane-wave DFT calculation with PBE was carried out for an optimized crystal structure of Ca2La2Nd5.

Values from the calculation:
**Calculated total energy**: -35.90 eV for the cell shown

Cell: 11.708 11.708 8.328 Å, 97.33 97.33 17.76°
Fractional coordinates of all 9 atoms:
Ca 0.185 0.185 0.124
Ca 0.815 0.815 0.876
La 0.445 0.445 0.654
La 0.555 0.555 0.346
Nd 0.000 0.000 0.000
Nd 0.090 0.090 0.731
Nd 0.309 0.309 0.453
Nd 0.691 0.691 0.547
Nd 0.910 0.910 0.269

***

A plane-wave DFT calculation with PBE was carried out for an optimized crystal structure of Ca2La7Nd12.

Values from the calculation:
**Calculated total energy**: -94.60 eV for the cell shown

Cell: 15.528 15.528 3.683 Å, 90.00 90.00 120.00°
Fractional coordinates of all 21 atoms:
Ca 0.000 0.000 0.000
Ca 0.333 0.667 0.500
La 0.099 0.479 0.000
La 0.233 0.186 0.500
La 0.380 0.901 0.000
La 0.521 0.620 0.000
La 0.667 0.333 0.000
La 0.814 0.047 0.500
La 0.953 0.767 0.500
Nd 0.052 0.255 0.500
Nd 0.125 0.713 0.000
Nd 0.203 0.948 0.500
Nd 0.287 0.412 0.000
Nd 0.418 0.152 0.000
Nd 0.495 0.398 0.500
Nd 0.588 0.875 0.000
Nd 0.602 0.097 0.500
Nd 0.734 0.582 0.000
Nd 0.745 0.797 0.500
Nd 0.848 0.266 0.000
Nd 0.903 0.505 0.500

***

A plane-wave DFT calculation with PBE was carried out for an optimized crystal structure of CaLa14Nd.

Values from the calculation:
**Calculated total energy**: -75.55 eV for the cell shown

Cell: 7.468 7.468 10.564 Å, 90.00 90.00 90.00°
Fractional coordinates of all 16 atoms:
Ca 0.000 0.000 0.000
La 0.000 0.000 0.500
La 0.000 0.500 0.000
La 0.000 0.500 0.500
La 0.255 0.255 0.253
La 0.255 0.255 0.747
La 0.255 0.745 0.253
La 0.255 0.745 0.747
La 0.500 0.000 0.000
La 0.500 0.000 0.500
La 0.500 0.500 0.500
La 0.745 0.255 0.253
La 0.745 0.255 0.747
La 0.745 0.745 0.253
La 0.745 0.745 0.747
Nd 0.500 0.500 0.000

***

A plane-wave DFT calculation with PBE was carried out for an optimized crystal structure of CaLaNd.

Values from the calculation:
**Calculated total energy**: -11.22 eV for the cell shown
**Energy above the most stable polymorph in this dataset**: 131 meV per atom

Cell: 6.028 6.028 3.612 Å, 90.00 90.00 120.00°
Fractional coordinates of all 3 atoms:
Ca 0.000 0.000 0.000
La 0.667 0.333 0.500
Nd 0.333 0.667 0.500

***

A plane-wave DFT calculation with PBE was carried out for an optimized crystal structure of CaLa2Nd4.

Values from the calculation:
**Calculated total energy**: -30.75 eV for the cell shown
**Energy above the most stable polymorph in this dataset**: 0 meV per atom

Cell: 21.535 21.535 21.535 Å, 9.90 9.90 9.90°
Fractional coordinates of all 7 atoms:
Ca 0.000 0.000 0.000
La 0.429 0.429 0.429
La 0.571 0.571 0.571
Nd 0.144 0.144 0.144
Nd 0.283 0.283 0.283
Nd 0.717 0.717 0.717
Nd 0.856 0.856 0.856

***

A plane-wave DFT calculation with PBE was carried out for an optimized crystal structure of CaLa3Nd2.

Values from the calculation:
**Calculated total energy**: -52.06 eV for the cell shown

Cell: 6.480 6.480 12.381 Å, 110.46 110.46 70.22°
Fractional coordinates of all 12 atoms:
Ca 0.125 0.875 0.750
Ca 0.875 0.125 0.250
La 0.043 0.293 0.586
La 0.293 0.043 0.086
La 0.374 0.626 0.250
La 0.626 0.374 0.750
La 0.707 0.957 0.914
La 0.957 0.707 0.414
Nd 0.212 0.462 0.925
Nd 0.462 0.212 0.425
Nd 0.538 0.788 0.575
Nd 0.788 0.538 0.075

***

A plane-wave DFT calculation with PBE was carried out for an optimized crystal structure of CaLa2Nd.

Values from the calculation:
**Calculated total energy**: -16.48 eV for the cell shown
**Energy above the most stable polymorph in this dataset**: 4 meV per atom

Cell: 3.726 3.726 10.882 Å, 90.00 90.00 90.00°
Fractional coordinates of all 4 atoms:
Ca 0.000 0.000 0.000
La 0.500 0.500 0.266
La 0.500 0.500 0.734
Nd 0.000 0.000 0.500

***

A plane-wave DFT calculation with PBE was carried out for an optimized crystal structure of CaLa7Nd2.

Values from the calculation:
**Calculated total energy**: -40.98 eV for the cell shown

Cell: 9.382 9.382 5.758 Å, 90.00 90.00 121.39°
Fractional coordinates of all 10 atoms:
Ca 0.000 0.000 0.000
La 0.068 0.306 0.500
La 0.247 0.753 0.000
La 0.306 0.068 0.500
La 0.500 0.500 0.500
La 0.694 0.932 0.500
La 0.753 0.247 0.000
La 0.932 0.694 0.500
Nd 0.301 0.699 0.500
Nd 0.699 0.301 0.500

***

A plane-wave DFT calculation with PBE was carried out for an optimized crystal structure of CaLa4Nd8.

Values from the calculation:
**Calculated total energy**: -59.56 eV for the cell shown

Cell: 5.273 9.820 9.822 Å, 85.91 74.49 74.48°
Fractional coordinates of all 13 atoms:
Ca 0.000 0.000 0.000
La 0.157 0.611 0.076
La 0.233 0.924 0.611
La 0.767 0.076 0.389
La 0.843 0.389 0.924
Nd 0.077 0.309 0.538
Nd 0.302 0.236 0.160
Nd 0.385 0.538 0.691
Nd 0.462 0.840 0.237
Nd 0.538 0.160 0.763
Nd 0.615 0.462 0.309
Nd 0.698 0.764 0.840
Nd 0.923 0.691 0.462

***

A plane-wave DFT calculation with PBE was carried out for an optimized crystal structure of CaLa3Nd7.

Values from the calculation:
**Calculated total energy**: -47.67 eV for the cell shown
**Energy above the most stable polymorph in this dataset**: 24 meV per atom

Cell: 8.707 8.707 8.707 Å, 138.78 97.40 96.84°
Fractional coordinates of all 11 atoms:
Ca 0.000 0.000 0.000
La 0.284 0.500 0.784
La 0.500 0.000 0.500
La 0.716 0.500 0.216
Nd 0.000 0.500 0.500
Nd 0.098 0.797 0.300
Nd 0.297 0.297 0.000
Nd 0.497 0.797 0.700
Nd 0.503 0.203 0.300
Nd 0.703 0.703 0.000
Nd 0.902 0.203 0.700

***

A plane-wave DFT calculation with PBE was carried out for an optimized crystal structure of CaLa4Nd3.

Values from the calculation:
**Calculated total energy**: -35.73 eV for the cell shown

Cell: 11.102 11.102 5.298 Å, 103.76 103.76 27.61°
Fractional coordinates of all 8 atoms:
Ca 0.000 0.000 0.000
La 0.128 0.128 0.628
La 0.372 0.372 0.872
La 0.628 0.628 0.128
La 0.872 0.872 0.372
Nd 0.250 0.250 0.250
Nd 0.500 0.500 0.500
Nd 0.750 0.750 0.750

***

A plane-wave DFT calculation with PBE was carried out for an optimized crystal structure of CaLaNd2.

Values from the calculation:
**Calculated total energy**: -16.31 eV for the cell shown
**Energy above the most stable polymorph in this dataset**: 4 meV per atom

Cell: 12.554 12.554 12.554 Å, 17.05 17.05 17.05°
Fractional coordinates of all 4 atoms:
Ca 0.000 0.000 0.000
La 0.500 0.500 0.500
Nd 0.247 0.247 0.247
Nd 0.753 0.753 0.753

***

A plane-wave DFT calculation with PBE was carried out for an optimized crystal structure of CaLa5Nd.

Values from the calculation:
**Calculated total energy**: -29.43 eV for the cell shown

Cell: 5.389 5.389 9.427 Å, 90.00 90.00 90.00°
Fractional coordinates of all 7 atoms:
Ca 0.000 0.000 0.000
La 0.000 0.500 0.279
La 0.000 0.500 0.721
La 0.500 0.000 0.279
La 0.500 0.000 0.721
La 0.500 0.500 0.000
Nd 0.000 0.000 0.500

***

A plane-wave DFT calculation with PBE was carried out for an optimized crystal structure of CaLa2Nd.

Values from the calculation:
**Calculated total energy**: -16.50 eV for the cell shown
**Energy above the most stable polymorph in this dataset**: 0 meV per atom

Cell: 12.659 12.659 12.659 Å, 17.00 17.00 17.00°
Fractional coordinates of all 4 atoms:
Ca 0.000 0.000 0.000
La 0.579 0.579 0.579
La 0.754 0.754 0.754
Nd 0.167 0.167 0.167

***

A plane-wave DFT calculation with PBE was carried out for an optimized crystal structure of CaLa8Nd3.

Values from the calculation:
**Calculated total energy**: -52.46 eV for the cell shown

Cell: 8.982 8.982 8.982 Å, 135.19 99.79 96.91°
Fractional coordinates of all 12 atoms:
Ca 0.000 0.000 0.000
La 0.071 0.250 0.822
La 0.280 0.224 0.505
La 0.280 0.776 0.056
La 0.428 0.250 0.178
La 0.572 0.750 0.822
La 0.720 0.224 0.944
La 0.720 0.776 0.495
La 0.929 0.750 0.178
Nd 0.271 0.771 0.500
Nd 0.500 0.500 0.000
Nd 0.729 0.229 0.500

***

A plane-wave DFT calculation with PBE was carried out for an optimized crystal structure of CaLa4Nd2.

Values from the calculation:
**Calculated total energy**: -31.12 eV for the cell shown
**Energy above the most stable polymorph in this dataset**: 0 meV per atom

Cell: 21.653 21.653 21.653 Å, 9.90 9.90 9.90°
Fractional coordinates of all 7 atoms:
Ca 0.000 0.000 0.000
La 0.143 0.143 0.143
La 0.283 0.283 0.283
La 0.717 0.717 0.717
La 0.857 0.857 0.857
Nd 0.429 0.429 0.429
Nd 0.571 0.571 0.571

***

The records above yield ΔE_f values of 0.044 0.035 0.108 0.023 0.200 0.053 0.013 0.160 0.025 0.048 0.036 0.505 0.022 0.226 0.036 0.039 0.282 0.032 0.272 0.018 eV/atom, respectively.